This record from the Alexandria database describes LiZrSe2 after structural relaxation. The functional is PBE-GGA.

* space group: No. 71
* uncorrected formation energy: -0.96 eV/atom
* density of states at the Fermi level: 1.6 states/eV/cell

POSCAR file:
```
LiZrSe2
1.0
-2.100 2.604 3.493
2.100 -2.604 3.493
2.100 2.604 -3.493
Li Zr Se
1 1 2
Cartesian
0.000 0.000 0.000
0.000 0.000 3.493
2.100 0.000 1.579
0.000 2.604 1.914
```

***

This record from the Alexandria database describes Pm3CdSi4 after structural relaxation. The functional is PBE-GGA.

* space group: No. 71
* uncorrected formation energy: -0.48 eV/atom
* density of states at the Fermi level: 3.3 states/eV/cell

POSCAR file:
```
Pm3CdSi4
1.0
-2.155 2.991 7.683
2.155 -2.991 7.683
2.155 2.991 -7.683
Pm Cd Si
3 1 4
Cartesian
0.000 0.000 0.000
2.155 0.000 4.767
0.000 2.991 2.916
0.000 0.000 7.683
2.155 1.150 -1.962
2.155 1.150 1.962
0.000 1.842 5.720
0.000 1.842 9.645
```